[1]
# Na3LiTl4I8 (PBE, optimized geometry)
data_Na3LiTl4I8
_space_group_name_H-M_alt 'R -3 m'
_space_group_IT_number 166
_space_group_name_Hall '-R 3 2"'
_cell_length_a 9.4498
_cell_length_b 9.4498
_cell_length_c 23.9455
_cell_angle_alpha 90.00
_cell_angle_beta 90.00
_cell_angle_gamma 120.00
loop_
_atom_site_label
_atom_site_fract_x
_atom_site_fract_y
_atom_site_fract_z
Na1 0.0000 0.5000 0.0000
Li1 0.0000 0.0000 0.0000
Tl1 0.0000 0.0000 0.5000
Tl2 0.0000 0.5000 0.5000
I1 0.0000 0.0000 0.2591
I2 0.0093 0.5046 0.7393
# Magnetization (μB per atom): 0.0000
# E_form (uncorrected) (meV/atom): -935
# Mass density (g cm⁻³): 5.13


[2]
# Cd2HgMo (PBE, optimized geometry)
data_Cd2HgMo
_space_group_name_H-M_alt 'C 1 m 1'
_space_group_IT_number 8
_space_group_name_Hall 'C -2y'
_cell_length_a 10.181
_cell_length_b 2.935
_cell_length_c 5.414
_cell_angle_alpha 90.00
_cell_angle_beta 101.51
_cell_angle_gamma 90.00
loop_
_atom_site_label
_atom_site_fract_x
_atom_site_fract_y
_atom_site_fract_z
Cd1 0.000 0.000 0.000
Cd2 0.246 0.000 0.753
Hg1 0.491 0.000 0.471
Mo1 0.244 0.500 0.252
# Magnetization (μB per atom): 0.0000
# Total energy (eV per formula unit): -11.2
# Mass density (g cm⁻³): 10.92


[3]
# Pm6Tl5In (PBE, optimized geometry)
data_Pm6Tl5In
_space_group_name_H-M_alt 'C 1 2/m 1'
_space_group_IT_number 12
_space_group_name_Hall '-C 2y'
_cell_length_a 9.897
_cell_length_b 11.545
_cell_length_c 6.793
_cell_angle_alpha 90.00
_cell_angle_beta 102.77
_cell_angle_gamma 90.00
loop_
_atom_site_label
_atom_site_fract_x
_atom_site_fract_y
_atom_site_fract_z
Pm1 0.250 0.000 0.247
Pm2 0.250 0.166 0.751
Tl1 0.000 0.000 0.500
Tl2 0.000 0.169 0.000
Tl3 0.000 0.334 0.500
In1 0.000 0.500 0.000
# Magnetization (μB per atom): 0.0000
# Excess energy over the best structure of this formula in the dataset (kcal/mol of atoms): 3.04
# Mass density (g cm⁻³): 8.80


[4]
# DyThCdGa (PBE, optimized geometry)
data_DyThCdGa
_space_group_name_H-M_alt 'F -4 3 m'
_space_group_IT_number 216
_space_group_name_Hall 'F -4 2 3'
_cell_length_a 7.438
_cell_length_b 7.438
_cell_length_c 7.438
_cell_angle_alpha 90.00
_cell_angle_beta 90.00
_cell_angle_gamma 90.00
loop_
_atom_site_label
_atom_site_fract_x
_atom_site_fract_y
_atom_site_fract_z
Dy1 0.000 0.000 0.000
Th1 0.000 0.000 0.500
Cd1 0.250 0.250 0.750
Ga1 0.250 0.250 0.250
# Magnetization (μB per atom): 0.0000
# Total energy (eV per formula unit): -17.3
# Mass density (g cm⁻³): 9.31


[5]
# NbMoHPt2 (PBE, optimized geometry)
data_NbMoHPt2
_space_group_name_H-M_alt 'P 4/m m m'
_space_group_IT_number 123
_space_group_name_Hall '-P 4 2'
_cell_length_a 3.951
_cell_length_b 3.951
_cell_length_c 4.258
_cell_angle_alpha 90.00
_cell_angle_beta 90.00
_cell_angle_gamma 90.00
loop_
_atom_site_label
_atom_site_fract_x
_atom_site_fract_y
_atom_site_fract_z
Nb1 0.000 0.000 0.000
Mo1 0.500 0.500 0.000
H1 0.500 0.500 0.500
Pt1 0.000 0.500 0.500
# Magnetization (μB per atom): 0.0027
# Excess energy over the best structure of this formula in the dataset (kcal/mol of atoms): 0.00
# Mass density (g cm⁻³): 14.49


[6]
# KAl2RuI (PBE, optimized geometry)
data_KAl2RuI
_space_group_name_H-M_alt 'P 4/m m m'
_space_group_IT_number 123
_space_group_name_Hall '-P 4 2'
_cell_length_a 5.961
_cell_length_b 5.961
_cell_length_c 5.922
_cell_angle_alpha 90.00
_cell_angle_beta 90.00
_cell_angle_gamma 90.00
loop_
_atom_site_label
_atom_site_fract_x
_atom_site_fract_y
_atom_site_fract_z
K1 0.000 0.000 0.000
Al1 0.000 0.500 0.000
Ru1 0.500 0.500 0.500
I1 0.000 0.000 0.500
# Magnetization (μB per atom): 0.5184
# E_form (uncorrected) (meV/atom): 1819
# Mass density (g cm⁻³): 2.53


[7]
# TaTi2PbO8 (PBE, optimized geometry)
data_TaTi2PbO8
_space_group_name_H-M_alt 'C 1 2/m 1'
_space_group_IT_number 12
_space_group_name_Hall '-C 2y'
_cell_length_a 7.354
_cell_length_b 6.537
_cell_length_c 6.671
_cell_angle_alpha 90.00
_cell_angle_beta 96.23
_cell_angle_gamma 90.00
loop_
_atom_site_label
_atom_site_fract_x
_atom_site_fract_y
_atom_site_fract_z
Ta1 0.000 0.000 0.000
Ti1 0.056 0.500 0.732
Pb1 0.000 0.000 0.500
O1 0.003 0.213 0.783
O2 0.173 0.500 0.507
O3 0.229 0.500 0.952
# Magnetization (μB per atom): 0.0000
# E_form (uncorrected) (meV/atom): -2456
# Mass density (g cm⁻³): 6.37


[8]
# TmCu3Pd4 (PBE, optimized geometry)
data_TmCu3Pd4
_space_group_name_H-M_alt 'P 4/m m m'
_space_group_IT_number 123
_space_group_name_Hall '-P 4 2'
_cell_length_a 4.172
_cell_length_b 4.172
_cell_length_c 6.993
_cell_angle_alpha 90.00
_cell_angle_beta 90.00
_cell_angle_gamma 90.00
loop_
_atom_site_label
_atom_site_fract_x
_atom_site_fract_y
_atom_site_fract_z
Tm1 0.000 0.000 0.000
Cu1 0.000 0.000 0.500
Cu2 0.500 0.500 0.000
Cu3 0.500 0.500 0.500
Pd1 0.000 0.500 0.269
# Magnetization (μB per atom): 0.0000
# Total energy (eV per formula unit): -41.1
# Mass density (g cm⁻³): 10.71


[9]
# TmCdPb (PBE, optimized geometry)
data_TmCdPb
_space_group_name_H-M_alt 'P 1 21/m 1'
_space_group_IT_number 11
_space_group_name_Hall '-P 2yb'
_cell_length_a 4.606
_cell_length_b 4.331
_cell_length_c 8.254
_cell_angle_alpha 90.00
_cell_angle_beta 106.03
_cell_angle_gamma 90.00
loop_
_atom_site_label
_atom_site_fract_x
_atom_site_fract_y
_atom_site_fract_z
Tm1 0.091 0.250 0.183
Cd1 0.256 0.750 0.513
Pb1 0.419 0.250 0.839
# Magnetization (μB per atom): 0.0000
# Total energy (eV per formula unit): -9.9
# Mass density (g cm⁻³): 10.25


[10]
# CuSnPd2 (PBE, optimized geometry)
data_CuSnPd2
_space_group_name_H-M_alt 'P 4/m m m'
_space_group_IT_number 123
_space_group_name_Hall '-P 4 2'
_cell_length_a 4.013
_cell_length_b 4.013
_cell_length_c 7.929
_cell_angle_alpha 90.00
_cell_angle_beta 90.00
_cell_angle_gamma 90.00
loop_
_atom_site_label
_atom_site_fract_x
_atom_site_fract_y
_atom_site_fract_z
Cu1 0.000 0.500 0.000
Sn1 0.000 0.000 0.253
Pd1 0.000 0.500 0.500
Pd2 0.500 0.500 0.227
# Magnetization (μB per atom): 0.0000
# Total energy (eV per formula unit): -19.8
# Mass density (g cm⁻³): 10.28


[11]
# As5C (PBE, optimized geometry)
data_As5C
_space_group_name_H-M_alt 'P 4/m m m'
_space_group_IT_number 123
_space_group_name_Hall '-P 4 2'
_cell_length_a 2.950
_cell_length_b 2.950
_cell_length_c 12.239
_cell_angle_alpha 90.00
_cell_angle_beta 90.00
_cell_angle_gamma 90.00
loop_
_atom_site_label
_atom_site_fract_x
_atom_site_fract_y
_atom_site_fract_z
As1 0.000 0.000 0.000
As2 0.000 0.000 0.399
As3 0.500 0.500 0.169
C1 0.500 0.500 0.500
# Magnetization (μB per atom): 0.0000
# Excess energy over the best structure of this formula in the dataset (kcal/mol of atoms): 11.51
# Mass density (g cm⁻³): 6.03


[12]
# Ce3Cu2Hg4 (PBE, optimized geometry)
data_Ce3Cu2Hg4
_space_group_name_H-M_alt 'C 1 2/m 1'
_space_group_IT_number 12
_space_group_name_Hall '-C 2y'
_cell_length_a 10.827
_cell_length_b 4.890
_cell_length_c 9.061
_cell_angle_alpha 90.00
_cell_angle_beta 120.34
_cell_angle_gamma 90.00
loop_
_atom_site_label
_atom_site_fract_x
_atom_site_fract_y
_atom_site_fract_z
Ce1 0.000 0.000 0.000
Ce2 0.164 0.500 0.660
Cu1 0.107 0.500 0.278
Hg1 0.062 0.000 0.385
Hg2 0.212 0.500 0.059
# Magnetization (μB per atom): 0.3391
# Total energy (eV per formula unit): -29.7
# Mass density (g cm⁻³): 10.83